(1)
A geometry-optimized BaPSe structure. Source: Alexandria, functional GGA-PBE.

```
BaPSe
1.0
1.062 -4.999 0.240
-1.031 -2.632 4.264
-3.801 -3.424 0.036
Ba P Se
1 1 1
Cartesian
-1.885 -5.527 2.270 Ba
-0.943 -2.764 1.135 P
0.000 0.000 0.000 Se
```

Summary:
M_tot: 0.0 μB per formula unit
Formation energy from raw total energies: -382 meV per atom
Total energy: -3.988 eV/atom
Excess energy over the best structure of this formula in the dataset: 428 meV/atom

=====

(2)
A geometry-optimized BaP2Se structure. Source: Alexandria, functional GGA-PBE.

```
BaP2Se
1.0
-0.737 5.081 0.635
-4.423 1.736 2.046
-0.027 2.036 4.755
Ba P Se
1 2 1
Cartesian
-2.593 4.426 3.718 Ba
0.000 0.000 0.000 P
-1.297 2.213 1.859 P
-3.890 6.639 5.577 Se
```

Summary:
M_tot: 0.0 μB per formula unit
Formation energy from raw total energies: 39 meV per atom
Total energy: -4.017 eV/atom
Excess energy over the best structure of this formula in the dataset: 675 meV/atom

=====

(3)
A geometry-optimized BaP2Se structure. Source: Alexandria, functional GGA-PBE.

```
BaP2Se
1.0
0.000 3.649 3.649
3.649 0.000 3.649
3.649 3.649 0.000
P Ba Se
2 1 1
Cartesian
1.825 1.825 1.825 P
5.474 5.474 5.474 P
3.649 3.649 3.649 Ba
0.000 0.000 0.000 Se
```

Summary:
M_tot: 0.0 μB per formula unit
Formation energy from raw total energies: 237 meV per atom
Total energy: -3.819 eV/atom
Excess energy over the best structure of this formula in the dataset: 873 meV/atom

=====

(4)
A geometry-optimized BaP2Se structure. Source: Alexandria, functional GGA-PBE.

```
BaP2Se
1.0
-0.818 -1.149 -3.701
0.945 -3.728 0.948
-6.676 -1.221 1.854
Ba P Se
1 2 1
Cartesian
-4.535 -3.279 -0.100 Ba
-1.131 -0.207 0.314 P
-0.888 -2.612 -1.112 P
-3.334 -0.610 0.926 Se
```

Summary:
M_tot: 0.0 μB per formula unit
Formation energy from raw total energies: -272 meV per atom
Total energy: -4.329 eV/atom
Excess energy over the best structure of this formula in the dataset: 363 meV/atom

=====

(5)
A geometry-optimized BaPSe4 structure. Source: Alexandria, functional GGA-PBE.

```
BaPSe4
1.0
0.000 4.222 4.222
4.222 0.000 4.222
4.222 4.222 0.000
Ba P Se
1 1 4
Cartesian
6.332 6.332 6.332 Ba
0.000 0.000 0.000 P
3.160 5.284 5.284 Se
5.284 5.284 3.160 Se
5.284 3.160 5.284 Se
3.160 3.160 3.160 Se
```

Summary:
M_tot: 3.0 μB per formula unit
Formation energy from raw total energies: 45 meV per atom
Total energy: -3.500 eV/atom

=====

(6)
A geometry-optimized BaP2Se structure. Source: Alexandria, functional GGA-PBE.

```
BaP2Se
1.0
-4.577 -0.104 -3.256
-5.585 -0.595 0.140
-3.431 4.855 -0.316
Ba P Se
1 2 1
Cartesian
-3.488 0.988 -0.892 Ba
-3.812 4.324 -0.506 P
-10.040 3.335 -2.497 P
-6.480 2.440 -1.570 Se
```

Summary:
M_tot: 0.0 μB per formula unit
Formation energy from raw total energies: -476 meV per atom
Total energy: -4.533 eV/atom
Excess energy over the best structure of this formula in the dataset: 159 meV/atom

=====

(7)
A geometry-optimized BaP2Se structure. Source: Alexandria, functional GGA-PBE.

```
BaP2Se
1.0
-1.534 0.630 -3.340
2.961 -3.777 -2.072
-2.698 -5.890 0.127
Ba P Se
1 2 1
Cartesian
-0.301 -7.014 -3.268 Ba
0.251 -0.376 -0.186 P
-0.554 -1.440 -2.099 P
-0.536 -5.039 -0.705 Se
```

Summary:
M_tot: 0.0 μB per formula unit
Formation energy from raw total energies: -635 meV per atom
Total energy: -4.692 eV/atom
Excess energy over the best structure of this formula in the dataset: 0 meV/atom

=====

(8)
A geometry-optimized Ba3P2Se8 structure. Source: Alexandria, functional GGA-PBE.

```
Ba3P2Se8
1.0
-3.937 -3.621 4.491
9.293 0.121 8.244
-6.385 15.719 7.074
Ba P Se
12 8 32
Cartesian
0.092 12.780 15.756 Ba
1.599 -2.272 10.373 Ba
0.262 6.581 5.821 Ba
-2.628 14.491 9.436 Ba
0.518 2.006 8.269 Ba
-1.121 -0.561 4.054 Ba
-1.547 10.213 11.540 Ba
3.147 5.022 11.953 Ba
-1.292 5.637 13.988 Ba
-4.177 7.197 7.857 Ba
3.752 0.767 14.002 Ba
-4.781 11.452 5.807 Ba
0.038 2.235 12.436 P
5.062 0.645 9.899 P
-6.091 11.574 9.910 P
-1.067 9.983 7.373 P
1.800 8.407 13.525 P
2.029 2.069 3.936 P
-3.059 10.150 15.873 P
-2.829 3.812 6.284 P
0.039 -1.274 7.344 Se
-5.854 13.305 8.501 Se
1.259 10.564 13.459 Se
-1.722 4.798 7.957 Se
7.030 0.376 8.879 Se
-3.079 7.169 11.090 Se
1.078 3.160 14.186 Se
3.970 8.279 13.029 Se
-8.059 11.843 10.931 Se
-2.288 1.654 6.351 Se
-1.068 13.493 12.465 Se
-6.305 9.705 8.700 Se
1.544 0.966 11.402 Se
0.456 1.827 2.371 Se
1.469 7.139 15.325 Se
1.892 3.615 5.546 Se
-0.560 8.325 8.775 Se
5.275 2.514 11.109 Se
-2.573 11.253 8.408 Se
-3.193 12.105 14.802 Se
4.824 -1.086 11.308 Se
3.495 0.409 8.326 Se
-4.999 3.940 6.780 Se
-2.922 8.604 14.264 Se
-4.525 11.809 11.483 Se
2.049 5.050 8.719 Se
-2.107 9.059 5.623 Se
-1.485 10.392 17.438 Se
-0.469 3.894 11.034 Se
2.164 0.114 5.007 Se
0.692 7.421 11.852 Se
-2.498 5.080 4.484 Se
```

Summary:
M_tot: 0.0 μB per formula unit
Formation energy from raw total energies: -1090 meV per atom
Total energy: -4.511 eV/atom

=====

(9)
A geometry-optimized BaSnP2Se8 structure. Source: Alexandria, functional GGA-PBE.

```
BaSnP2Se8
1.0
6.374 0.000 0.000
-3.187 5.520 0.000
0.000 0.000 9.524
Ba Sn P Se
1 1 2 8
Cartesian
0.000 0.000 0.000 Ba
0.000 0.000 4.762 Sn
3.187 1.840 2.405 P
0.000 3.680 7.119 P
0.000 3.680 9.295 Se
1.003 1.883 2.984 Se
1.055 5.447 2.984 Se
3.187 1.840 0.229 Se
2.132 0.073 6.540 Se
2.185 3.637 6.540 Se
5.245 1.810 6.540 Se
-2.058 3.711 2.984 Se
```

Summary:
M_tot: 0.0 μB per formula unit
Formation energy from raw total energies: -440 meV per atom
Total energy: -4.158 eV/atom

=====

(10)
A geometry-optimized BaSrP2Se structure. Source: Alexandria, functional GGA-PBE.

```
BaSrP2Se
1.0
-1.611 3.965 2.964
-9.972 2.599 -8.896
-3.157 -3.224 2.597
Sr Ba Se P
1 1 1 2
Cartesian
0.000 0.000 0.000 Sr
-4.986 1.300 -4.448 Ba
-7.370 1.670 -1.667 Se
-1.579 -1.612 1.298 P
-0.805 1.983 1.482 P
```

Summary:
M_tot: 1.4 μB per formula unit
Formation energy from raw total energies: 401 meV per atom
Total energy: -3.181 eV/atom

=====

(11)
A geometry-optimized BaTaP2Se8 structure. Source: Alexandria, functional GGA-PBE.

```
BaTaP2Se8
1.0
6.343 0.000 0.000
-3.172 5.494 0.000
0.000 0.000 9.112
Ba Ta P Se
1 1 2 8
Cartesian
0.000 0.000 0.000 Ba
0.000 0.000 4.556 Ta
3.172 1.831 2.427 P
0.000 3.662 6.686 P
0.000 3.662 8.860 Se
0.925 1.867 3.019 Se
1.092 5.361 3.019 Se
3.172 1.831 0.252 Se
2.079 0.132 6.093 Se
2.247 3.627 6.093 Se
5.189 1.735 6.093 Se
-2.018 3.759 3.019 Se
```

Summary:
M_tot: 0.0 μB per formula unit
Formation energy from raw total energies: -515 meV per atom
Total energy: -4.887 eV/atom

=====

(12)
A geometry-optimized BaTbP2Se8 structure. Source: Alexandria, functional GGA-PBE.

```
BaTbP2Se8
1.0
-2.603 -4.551 3.540
4.160 -1.501 -4.523
7.234 0.825 6.379
Ba Tb P Se
1 1 2 8
Cartesian
0.000 0.000 0.000 Ba
3.617 0.412 3.189 Tb
1.429 -3.331 2.420 P
7.361 -1.896 2.976 P
9.013 -1.707 4.432 Se
2.867 -1.847 1.525 Se
4.641 -4.097 -0.197 Se
-0.222 -3.520 0.964 Se
4.149 -1.130 5.592 Se
5.924 -3.380 3.871 Se
3.879 -4.382 6.319 Se
4.911 -0.845 -0.923 Se
```

Summary:
M_tot: 0.0 μB per formula unit
Formation energy from raw total energies: -698 meV per atom
Total energy: -4.469 eV/atom